Entry 1:
Crystalline LuFeBiW at its relaxed geometry. Source: OQMD via LeMat-Bulk, functional PBE.

Cell: 4.7565 4.7565 4.7565 Å, 60.00 60.00 60.00°
Positions (direct):
1 Bi 0.0000 0.0000 0.0000
2 Fe 0.7500 0.7500 0.7500
3 Lu 0.5000 0.5000 0.5000
4 W 0.2500 0.2500 0.2500

The value obtained for the total energy is -0.249 Ha/atom. The calculated density is 13.6 g/cm3. The value obtained for the distance to the lowest polymorph of the same formula is 0 meV/atom.

Entry 2:
Crystalline YLuFeBi at its relaxed geometry. Source: OQMD via LeMat-Bulk, functional PBE.

Cell: 5.0670 5.0670 5.0670 Å, 60.00 60.00 60.00°
Positions (direct):
1 Bi 0.0000 0.0000 0.0000
2 Fe 0.7500 0.7500 0.7500
3 Lu 0.2500 0.2500 0.2500
4 Y 0.5000 0.5000 0.5000

The value obtained for the total energy is -0.206 Ha/atom. The calculated density is 9.5 g/cm3. The value obtained for the distance to the lowest polymorph of the same formula is 0 meV/atom.

Entry 3:
Crystalline MgFeBiMo at its relaxed geometry. Source: OQMD via LeMat-Bulk, functional PBE.

Cell: 4.6242 4.6242 4.6242 Å, 60.00 60.00 60.00°
Positions (direct):
1 Bi 0.0000 0.0000 0.0000
2 Fe 0.7500 0.7500 0.7500
3 Mg 0.5000 0.5000 0.5000
4 Mo 0.2500 0.2500 0.2500

The value obtained for the total energy is -0.203 Ha/atom. The calculated density is 9.1 g/cm3. The value obtained for the distance to the lowest polymorph of the same formula is 0 meV/atom.

Entry 4:
Crystalline MgNbFeBi at its relaxed geometry. Source: OQMD via LeMat-Bulk, functional PBE.

Cell: 4.7131 4.7131 4.7131 Å, 60.00 60.00 60.00°
Positions (direct):
1 Bi 0.0000 0.0000 0.0000
2 Fe 0.7500 0.7500 0.7500
3 Mg 0.2500 0.2500 0.2500
4 Nb 0.5000 0.5000 0.5000

The value obtained for the total energy is -0.201 Ha/atom. The calculated density is 8.6 g/cm3. The value obtained for the distance to the lowest polymorph of the same formula is 0 meV/atom.

Entry 5:
Crystalline MgNbFeBi at its relaxed geometry. Source: OQMD via LeMat-Bulk, functional PBE.

Cell: 4.7238 4.7238 4.7238 Å, 60.00 60.00 60.00°
Positions (direct):
1 Bi 0.0000 0.0000 0.0000
2 Fe 0.7500 0.7500 0.7500
3 Mg 0.5000 0.5000 0.5000
4 Nb 0.2500 0.2500 0.2500

The value obtained for the total energy is -0.200 Ha/atom. The calculated density is 8.5 g/cm3. The value obtained for the distance to the lowest polymorph of the same formula is 42 meV/atom.

Entry 6:
Crystalline MgFeBiOs at its relaxed geometry. Source: OQMD via LeMat-Bulk, functional PBE.

Cell: 4.5200 4.5200 4.5200 Å, 60.00 60.00 60.00°
Positions (direct):
1 Bi 0.0000 0.0000 0.0000
2 Fe 0.7500 0.7500 0.7500
3 Mg 0.5000 0.5000 0.5000
4 Os 0.2500 0.2500 0.2500

The value obtained for the total energy is -0.210 Ha/atom. The calculated density is 12.2 g/cm3. The value obtained for the distance to the lowest polymorph of the same formula is 0 meV/atom.

Entry 7:
Crystalline MgFeBiPd at its relaxed geometry. Source: OQMD via LeMat-Bulk, functional PBE.

Cell: 4.6710 4.6710 4.6710 Å, 60.00 60.00 60.00°
Positions (direct):
1 Bi 0.0000 0.0000 0.0000
2 Fe 0.7500 0.7500 0.7500
3 Mg 0.5000 0.5000 0.5000
4 Pd 0.2500 0.2500 0.2500

The value obtained for the total energy is -0.175 Ha/atom. The calculated density is 9.1 g/cm3. The value obtained for the distance to the lowest polymorph of the same formula is 0 meV/atom.

Entry 8:
Crystalline MgFeTcBi at its relaxed geometry. Source: OQMD via LeMat-Bulk, functional PBE.

Cell: 4.5524 4.5524 4.5524 Å, 60.00 60.00 60.00°
Positions (direct):
1 Bi 0.0000 0.0000 0.0000
2 Fe 0.7500 0.7500 0.7500
3 Mg 0.5000 0.5000 0.5000
4 Tc 0.2500 0.2500 0.2500

The value obtained for the total energy is -0.205 Ha/atom. The calculated density is 9.6 g/cm3. The value obtained for the distance to the lowest polymorph of the same formula is 0 meV/atom.